The following is a PBE-GGA calculation of an optimized crystal structure of Cu3HgAu, from Alexandria.

Computed properties:
Calculated total energy, eV per formula unit: -12.367
Total magnetization, μB per formula unit: 0.000
Energy of formation, eV/atom: 0.70
Theoretical density, g/cm³: 8.79

a = 4.807 Å, b = 4.807 Å, c = 4.807 Å
α = 90.00°, β = 90.00°, γ = 90.00°
Atoms (fractional coordinates):
Au 0.000 0.000 0.000
Hg 0.500 0.500 0.500
Cu 0.000 0.500 0.000
Cu 0.000 0.000 0.500
Cu 0.500 0.000 0.000